8
Lattice="-2.666 -3.321 1.173 3.080 0.032 7.091 -6.035 4.794 -0.145" Properties=species:S:1:pos:R:3 comment="CaLaDy2Te4 GGA-PBE relaxed" space_group="No. 10" formation_energy_uncorrected_mev_per_atom=-1440 final_energy_ev_per_atom=-5.0278 pbc="T T T"
Te -2.116 -0.395 2.390
Te -3.695 3.560 1.678
Te -3.505 1.900 5.729
Ca 0.207 -1.644 4.132
Te 0.740 1.266 5.267
Dy -4.351 0.737 0.514
La 0.000 0.000 0.000
Dy -1.478 2.413 3.473